## MnAl3 (PBEsol)

Data for a relaxed MnAl3 crystal.

Cell: 2.776 4.704 4.704 Å, 111.65 90.00 90.00°
Fractional positions:
1 Al 0.000 0.500 0.500
2 Al 0.500 0.500 0.000
3 Al 0.500 0.000 0.500
4 Mn 0.000 0.000 0.000

## Properties
The calculation puts the total energy at -5.57 eV/atom. For the formation energy, the calculation gives -0.0584 eV/atom.